Material: KBC
Method: DFT, PBE-GGA
State: relaxed

Geometry as POSCAR:
```
KBC
1.0
6.184 0.018 -0.007
0.358 3.126 -0.005
2.319 0.522 5.075
K B C
2 2 2
direct
0.047 0.966 0.218
0.639 0.914 0.887
0.263 0.635 0.650
0.555 0.500 0.447
0.220 0.156 0.627
0.370 0.362 0.366
```

Values from the calculation:
Total moment ... 0.000 Bohr magnetons per cell
Calculated formation energy ... 0.683 eV/atom
Space-group type ... No. 1

=====

Material: Mn4SiNi15
Method: DFT, PBE-GGA
State: relaxed

Geometry as POSCAR:
```
Mn4SiNi15
1.0
3.553 0.000 0.000
0.000 3.553 0.000
0.000 0.000 17.675
Ni Si Mn
15 1 4
direct
0.500 0.000 0.904
0.000 0.500 0.702
0.500 0.500 0.399
0.000 0.500 0.500
0.500 0.000 0.500
0.500 0.500 0.803
0.500 0.500 0.601
0.000 0.500 0.904
0.000 0.500 0.096
0.500 0.000 0.702
0.500 0.000 0.096
0.500 0.500 0.000
0.500 0.000 0.298
0.500 0.500 0.197
0.000 0.500 0.298
0.000 0.000 0.000
0.000 0.000 0.198
0.000 0.000 0.601
0.000 0.000 0.802
0.000 0.000 0.399
```

Values from the calculation:
Formation energy (no corrections) ... -171 meV/atom
Total moment ... 19.312 Bohr magnetons per cell
Space-group type ... No. 123

=====

Material: ZnCdGa
Method: DFT, PBE-GGA
State: relaxed

Geometry as POSCAR:
```
ZnCdGa
1.0
-2.667 -0.327 1.296
2.418 -1.240 1.230
1.155 6.145 3.926
Zn Ga Cd
1 1 1
direct
0.667 0.333 0.340
0.333 0.667 0.649
0.000 0.000 0.011
```

Values from the calculation:
Total moment ... 0.000 Bohr magnetons per cell
Calculated formation energy ... 0.059 eV/atom
Space-group type ... No. 156